Entry 1:
Here is crystalline CsMgTcOs at its relaxed geometry from OQMD. Energies are from PBE.

Cell and atoms, written as extended XYZ:
```
4
Lattice="0.0000 3.4052 3.4052 3.4052 0.0000 3.4052 3.4052 3.4052 0.0000" Properties=species:S:1:pos:R:3 pbc="T T T"
Cs 0.0000 0.0000 0.0000
Mg 5.1078 5.1078 5.1078
Tc 1.7026 1.7026 1.7026
Os 3.4052 3.4052 3.4052
```

Results
space-group type = F-43m (216)
relative energy among the computed polymorphs = 0 meV per atom
total moment = 0.0 μB/f.u.
calculated density = 9367 kg/m³
crystal system = cubic

=====

Entry 2:
Here is crystalline CsMgZn3P3 at its relaxed geometry from OQMD. Energies are from PBE.

Cell and atoms, written as extended XYZ:
```
8
Lattice="4.1043 0.0000 0.0000 0.0000 4.2050 0.0000 0.0000 0.0000 10.4798" Properties=species:S:1:pos:R:3 pbc="T T T"
Cs 0.0000 0.0000 0.0000
Mg 2.0522 0.0000 6.7960
Zn 0.0000 2.1025 3.6276
Zn 0.0000 2.1025 6.8429
Zn 2.0522 0.0000 3.6317
P 0.0000 0.0000 5.1966
P 2.0522 2.1025 2.3695
P 2.0522 2.1025 8.1316
```

Results
space-group type = Pmm2 (25)
DFT total energy = -3.21 eV per atom
calculated density = 4098 kg/m³
crystal system = orthorhombic

=====

Entry 3:
Here is crystalline CsMgPd at its relaxed geometry from OQMD. Energies are from PBE.

Cell and atoms, written as extended XYZ:
```
3
Lattice="0.0000 4.0302 4.0302 4.0302 0.0000 4.0302 4.0302 4.0302 0.0000" Properties=species:S:1:pos:R:3 pbc="T T T"
Cs 0.0000 0.0000 0.0000
Mg 6.0452 6.0452 6.0452
Pd 2.0151 2.0151 2.0151
```

Results
space-group type = F-43m (216)
DFT total energy = -1.64 eV per atom
calculated density = 3344 kg/m³
crystal system = cubic

=====

Question: What is the calculated density in the second record?
Answer: 4098 kg/m³

=====

Question: The highest calculated density belongs to which entry?
Answer: CsMgTcOs